No. 1
! GGA-PBEsol KBaRh, optimized geometry; values from VASP
! **Mass density**: 4.29 g cm⁻³
! **E_form**: 328 meV/atom
&SYSTEM
  ibrav = 0, nat = 3, ntyp = 3
/
ATOMIC_SPECIES
K 39.10 K.upf
Rh 102.91 Rh.upf
Ba 137.33 Ba.upf
ATOMIC_POSITIONS crystal
K 0.291 0.291 0.582
Rh 0.652 0.652 0.305
Ba 0.057 0.057 0.113
CELL_PARAMETERS angstrom
3.750 0.000 0.000
0.000 3.750 0.000
-1.875 -1.875 7.688



No. 2
! GGA-PBEsol K2BaRu, optimized geometry; values from VASP
! **Mass density**: 3.65 g cm⁻³
! **Energy relative to the lowest polymorph listed for this composition**: 432 meV/atom
! **E_form**: 1176 meV/atom
&SYSTEM
  ibrav = 0, nat = 4, ntyp = 3
/
ATOMIC_SPECIES
Ba 137.33 Ba.upf
K 39.10 K.upf
Ru 101.07 Ru.upf
ATOMIC_POSITIONS crystal
Ba 0.500 0.500 0.500
K 0.000 0.000 0.181
K 0.000 0.000 0.819
Ru 0.500 0.500 0.000
CELL_PARAMETERS angstrom
-3.104 0.036 -1.274
-0.249 -3.306 0.514
-4.766 2.175 11.674